Entry 1:
SmYLuIn | PBE | optimized geometry

Values from the calculation:
- Total moment: 2.136 Bohr magnetons per cell
- Mass density: 7.64 Mg/m³
- E: -76.33 eV/cell

Cell lengths 7.721, 7.721, 7.721 Å; angles 90.00, 90.00, 90.00 degrees
Space group F-43m (No. 216)
Unique sites:
Sm 0.000 0.000 0.000
Y 0.000 0.000 0.500
Lu 0.250 0.250 0.750
In 0.250 0.250 0.250

---

Entry 2:
Lu2InSn | PBE | optimized geometry

Values from the calculation:
- Total moment: 0.000 Bohr magnetons per cell
- Mass density: 9.58 Mg/m³
- E: -17.68 eV/cell

Cell lengths 4.845, 4.845, 4.310 Å; angles 90.00, 90.00, 90.00 degrees
Space group P4/mmm (No. 123)
Unique sites:
Lu 0.000 0.500 0.000
In 0.000 0.000 0.500
Sn 0.500 0.500 0.500

---

no.,N(E_F) (states/eV/f.u.),ΔE_f (eV per atom)
1,6.45,-0.16
2,2.67,-0.47